[1]
Density functional theory data (PBE-GGA) for a relaxed structure of AcTm3Ir.

Lattice parameters (Å, degrees): 5.440 5.440 5.440 90.00 90.00 90.00
Sites, in units of the cell vectors:
Ac 0.500 0.500 0.500
Tm 0.000 0.500 0.000
Tm 0.500 0.000 0.000
Tm 0.000 0.000 0.500
Ir 0.000 0.000 0.000

[2]
Density functional theory data (PBE-GGA) for a relaxed structure of AcTmIr.

Values from the calculation:
excess energy over the best structure of this formula in the dataset	0.168	eV/atom

Lattice parameters (Å, degrees): 3.610 3.610 7.040 104.86 104.86 90.00
Sites, in units of the cell vectors:
Ir 0.680 0.680 0.360
Tm 0.287 0.287 0.573
Ac 0.033 0.033 0.066

[3]
Density functional theory data (PBE-GGA) for a relaxed structure of AcTm2Ir.

Values from the calculation:
excess energy over the best structure of this formula in the dataset	0.000	eV/atom

Lattice parameters (Å, degrees): 4.116 4.116 9.108 76.94 76.94 60.00
Sites, in units of the cell vectors:
Ac 0.502 0.502 0.495
Ir 0.666 0.666 0.002
Tm 0.281 0.281 0.156
Tm 0.051 0.051 0.848

| no. | N(E_F) (states/eV/cell) | calculated total energy (eV per atom) |
| --- | --- | --- |
| 1 | 5.3 | -5.650 |
| 2 | 3.4 | -6.262 |
| 3 | 3.2 | -5.915 |